No. 1
# Th2GeOsC

A relaxed structure of Th2GeOsC (PBE, Alexandria via LeMat-Bulk).

abc: 3.965 6.843 8.580
angles: 113.22 90.00 90.00
Positions (direct):
Th 0.250 0.223 0.975
Os 0.250 0.518 0.742
Th 0.750 0.780 0.601
Os 0.750 0.482 0.258
C 0.750 0.165 0.178
Ge 0.250 0.726 0.291
C 0.250 0.835 0.822
Th 0.750 0.777 0.025
Ge 0.750 0.274 0.709
Th 0.250 0.220 0.399

Properties
For the energy of formation, the calculation gives -0.436 eV per atom. Its space-group type is P2_1/m (11).

***

No. 2
# Pr2Be3Si4Pt

A relaxed structure of Pr2Be3Si4Pt (PBE, Alexandria via LeMat-Bulk).

abc: 4.040 4.040 9.924
angles: 90.00 90.00 90.00
Positions (direct):
Be 0.000 0.000 0.500
Be 0.500 0.000 0.872
Pt 0.500 0.500 0.500
Be 0.000 0.500 0.128
Si 0.500 0.000 0.637
Si 0.500 0.500 0.000
Pr 0.000 0.500 0.756
Si 0.000 0.000 0.000
Pr 0.500 0.000 0.244
Si 0.000 0.500 0.363

Properties
The calculation puts the formation energy without anion corrections at -0.549 eV/atom. Its space-group type is P-4m2 (115).

***

No. 3
# PmYCuSi

A relaxed structure of PmYCuSi (PBE, Alexandria via LeMat-Bulk).

abc: 4.148 4.149 5.754
angles: 90.00 111.13 90.00
Positions (direct):
Si 0.566 0.500 0.133
Y 0.860 0.500 0.720
Pm 0.141 0.000 0.281
Cu 0.433 0.000 0.866

Properties
The value obtained for the excess energy over the best structure of this formula in the dataset is 0.000 eV per formula unit. The calculation puts the formation energy without anion corrections at -0.507 eV/atom. Its space-group type is Amm2 (38).

***

No. 4
# NbBi2O

A relaxed structure of NbBi2O (PBE, Alexandria via LeMat-Bulk).

abc: 7.131 7.131 6.084
angles: 54.12 54.12 90.00
Positions (direct):
Bi 0.875 0.800 0.750
Bi 0.375 0.450 0.750
O 0.250 0.750 0.500
Bi 0.550 0.125 0.250
Nb 0.750 0.250 0.500
O 0.500 0.500 0.000
Bi 0.200 0.625 0.250
Nb 0.000 0.000 0.000

Properties
The calculation puts the formation energy without anion corrections at 0.271 eV/atom. Its space-group type is I-42d (122).

***

No. 5
# Ag2TeIr

A relaxed structure of Ag2TeIr (PBE, Alexandria via LeMat-Bulk).

abc: 2.935 2.935 9.984
angles: 90.00 90.00 113.42
Each line ends with the local moment (μB).
Positions (direct):
Ag 0.000 0.000 0.024  0.01
Ag 0.000 0.000 0.476  0.01
Ir 0.500 0.500 0.250  0.47
Te 0.500 0.500 0.750  0.01

Properties
The calculation puts the formation energy without anion corrections at 0.543 eV/atom. Its space-group type is Cmmm (65).

***

No. 6
# TePtPb2

A relaxed structure of TePtPb2 (PBE, Alexandria via LeMat-Bulk).

abc: 5.500 5.500 5.500
angles: 126.32 126.32 79.36
Positions (direct):
Pb 0.500 0.500 0.000
Pb 0.000 0.000 0.000
Pt 0.250 0.750 0.500
Te 0.750 0.250 0.500

Properties
The calculation puts the formation energy without anion corrections at 0.093 eV/atom. Its space-group type is I4/mmm (139).

***

No. 7
# Gd2BiRu

A relaxed structure of Gd2BiRu (PBE, Alexandria via LeMat-Bulk).

abc: 3.447 3.447 8.455
angles: 90.00 90.00 90.00
Each line ends with the local moment (μB).
Positions (direct):
Bi 0.500 0.500 0.500  0.05
Ru 0.500 0.500 0.000  0.17
Gd 0.000 0.000 0.800  -7.04
Gd 0.000 0.000 0.200  -7.04

Properties
The value obtained for the excess energy over the best structure of this formula in the dataset is 0.000 eV per formula unit. For the energy of formation, the calculation gives -0.521 eV per atom. Its space-group type is P4/mmm (123).

***

No. 8
# K2NpMn2Se4

A relaxed structure of K2NpMn2Se4 (PBE, Alexandria via LeMat-Bulk).

abc: 4.190 7.972 8.005
angles: 109.19 105.17 90.00
Each line ends with the local moment (μB).
Positions (direct):
Se 0.521 0.762 0.043  -0.03
Mn 0.319 0.014 0.637  3.73
Mn 0.681 0.986 0.363  3.73
K 0.869 0.444 0.738  0.01
Se 0.202 0.180 0.403  0.03
Se 0.479 0.238 0.957  -0.03
Np 0.000 0.000 0.000  4.00
Se 0.798 0.820 0.597  0.03
K 0.131 0.556 0.262  0.01

Properties
The calculation puts the formation energy without anion corrections at -0.862 eV/atom. Its space-group type is C2/m (12).

***

no.,volume (Å³/f.u.),spin magnetization (μB/atom)
1,107.0,0.0000
2,162.0,0.0000
3,92.4,0.0508
4,86.5,0.0000
5,78.9,0.1260
6,104.4,0.0000
7,100.4,3.5195
8,242.7,1.3876